# 1
This record from the Alexandria database describes ErV2Re after structural relaxation. The functional is PBE.

The space group is Fm-3m (No. 225) and the conventional cell measures 6.388, 6.388 and 6.388 Å, with angles of 90.00, 90.00 and 90.00 degrees. Symmetry generates all atoms from Er at (0.000, 0.000, 0.000), V at (0.250, 0.250, 0.250) and Re at (0.000, 0.000, 0.500).

---

# 2
This record from the Alexandria database describes V2CuPd4 after structural relaxation. The functional is PBE.

The space group is P2_1/m (No. 11) and the conventional cell measures 6.379, 5.050 and 7.155 Å, with angles of 90.00, 115.66 and 90.00 degrees. Symmetry generates all atoms from V at (0.049, 0.250, 0.461), V at (0.218, 0.750, 0.015), Cu at (0.055, 0.250, 0.820), Pd at (0.221, 0.250, 0.210), Pd at (0.367, 0.750, 0.422) and Pd at (0.380, 0.502, 0.780).

The energy above the most stable polymorph in this dataset comes out at 0 meV per atom.

---

| no. | energy of formation (eV/atom) |
| --- | --- |
| 1 | 0.217 |
| 2 | 0.002 |